Entry 1:
The following is a PBE calculation of crystalline MnAgSe at its relaxed geometry, from the Alexandria database.

```
6
Lattice="-2.441 2.576 -2.045 -3.829 -0.257 4.244 3.978 4.096 0.413" Properties=species:S:1:pos:R:3 pbc="T T T"
Mn -3.324 3.141 0.141
Mn -0.363 2.825 0.311
Se 1.406 4.804 0.692
Se -5.018 3.193 2.223
Ag -1.628 5.322 0.860
Ag -1.967 3.163 2.646
```

Results
energy above the most stable polymorph in this dataset = 0.00 kcal/mol of atoms
total magnetic moment = 1.425 μB per atom
VASP energy = -5.2338 eV per atom
mass density = 6.68 g cm⁻³
formation energy (no corrections) = -65 meV per atom


Entry 2:
The following is a PBE calculation of crystalline MnAg2Se3 at its relaxed geometry, from the Alexandria database.

```
12
Lattice="7.035 -0.675 -0.481 0.088 6.683 0.605 0.088 2.755 6.119" Properties=species:S:1:pos:R:3 pbc="T T T"
Ag 3.539 6.331 3.348
Ag 7.057 4.895 4.650
Ag 3.673 2.432 2.895
Ag 0.155 3.868 1.593
Se 0.253 1.174 1.158
Se 1.847 4.302 3.591
Se 3.441 7.622 5.752
Se 6.959 7.589 5.085
Se 5.365 4.461 2.652
Se 3.771 1.141 0.491
Mn 1.847 2.874 5.594
Mn 5.365 5.889 0.649
```

Results
total magnetic moment = 0.524 μB per atom
VASP energy = -4.4133 eV per atom
mass density = 6.10 g cm⁻³
formation energy (no corrections) = -192 meV per atom


Entry 3:
The following is a PBE calculation of crystalline MnAg3Se4 at its relaxed geometry, from the Alexandria database.

```
8
Lattice="-0.864 0.150 -5.895 -5.215 -2.800 0.693 0.388 6.390 3.118" Properties=species:S:1:pos:R:3 pbc="T T T"
Se -5.310 -0.903 -3.911
Se -1.973 0.552 -1.056
Se -3.243 3.105 2.208
Se -0.855 4.724 -1.408
Mn 0.000 0.000 0.000
Ag -3.933 1.132 0.605
Ag -3.039 -1.325 -2.601
Ag -1.757 2.607 -2.689
```

Results
total magnetic moment = 0.254 μB per atom
VASP energy = -4.0860 eV per atom
mass density = 5.66 g cm⁻³
formation energy (no corrections) = -128 meV per atom